4
Lattice="3.508 0.000 0.000 0.000 3.508 0.000 0.000 0.000 7.517" Properties=species:S:1:pos:R:3 comment="Li2YBr, optimized geometry, DFT PBE-GGA" mass_density_g_cm3=3.28 energy_ev_per_atom=-3.410 sg="P4mm, No. 99" total_magnetization_mub_per_fu=0.79 volume_a3_per_atom=23.1 pbc="T T T"
Li 0.000 0.000 0.000
Li 1.754 1.754 1.631
Y 0.000 0.000 3.717
Br 1.754 1.754 5.912